No. 1
TiPbIN2: relaxed, GGA-PBE.

The uncorrected formation energy is 9.1 eV/f.u. For the energy above the most stable polymorph in this dataset, the calculation gives 1372 meV/atom. The total magnetization is 0.00 μB/cell. Its crystal system is tetragonal.

The space group is P4/mmm (No. 123) and the conventional cell measures 4.342, 4.342 and 5.759 Å, with angles of 90.00, 90.00 and 90.00 degrees. The inequivalent atoms are Ti at (0.000, 0.000, 0.000), Pb at (0.500, 0.500, 0.500), I at (0.500, 0.500, 0.000) and N at (0.000, 0.500, 0.500).

***

No. 2
TlPbI2N: relaxed, GGA-PBE.

The uncorrected formation energy is 3.4 eV/f.u. For the energy above the most stable polymorph in this dataset, the calculation gives 190 meV/atom. The total magnetization is 0.93 μB/cell. Its crystal system is tetragonal.

The space group is P4/mmm (No. 123) and the conventional cell measures 6.248, 6.248 and 4.335 Å, with angles of 90.00, 90.00 and 90.00 degrees. The inequivalent atoms are Tl at (0.000, 0.000, 0.000), Pb at (0.500, 0.500, 0.500), I at (0.000, 0.500, 0.000) and N at (0.000, 0.000, 0.500).

***

No. 3
TlPbIN2: relaxed, GGA-PBE.

The uncorrected formation energy is 6.4 eV/f.u. For the energy above the most stable polymorph in this dataset, the calculation gives 0 meV/atom. The total magnetization is 2.98 μB/cell. Its crystal system is tetragonal.

The space group is P4/mmm (No. 123) and the conventional cell measures 4.825, 4.825 and 6.510 Å, with angles of 90.00, 90.00 and 90.00 degrees. The inequivalent atoms are Tl at (0.000, 0.000, 0.000), Pb at (0.500, 0.500, 0.500), I at (0.500, 0.500, 0.000) and N at (0.000, 0.500, 0.500).